Density functional theory data (PBE) for a relaxed structure of SmAl9Ni2.

a b c (Å): 8.2367 8.2367 8.2367
angles (deg): 100.42 100.42 129.67
Fractional positions:
Sm: 0.3750 0.6250 0.7500
Sm: 0.6250 0.3750 0.2500
Al: 0.1250 0.8750 0.2500
Al: 0.1361 0.5645 0.3261
Al: 0.1361 0.8100 0.5716
Al: 0.1900 0.2617 0.3261
Al: 0.1900 0.8639 0.9284
Al: 0.2617 0.1900 0.8261
Al: 0.2617 0.4355 0.0716
Al: 0.4355 0.2617 0.5716
Al: 0.4355 0.8639 0.1739
Al: 0.5645 0.1361 0.8261
Al: 0.5645 0.7383 0.4284
Al: 0.7383 0.5645 0.9284
Al: 0.7383 0.8100 0.1739
Al: 0.8100 0.1361 0.0716
Al: 0.8100 0.7383 0.6739
Al: 0.8639 0.1900 0.4284
Al: 0.8639 0.4355 0.6739
Al: 0.8750 0.1250 0.7500
Ni: 0.0000 0.0000 0.0000
Ni: 0.0000 0.0000 0.5000
Ni: 0.0000 0.5000 0.0000
Ni: 0.5000 0.0000 0.5000

Results
E: -4.524 eV/atom
Formation energy: -359.9 meV per atom